Below is crystalline RbCaF3 at its relaxed geometry, with properties calculated at the GGA-PBEsol level.

Summary:
magnetization = 0.012 μB/atom
energy = -26.30 eV for the cell shown
uncorrected formation energy = -3.4722 eV/atom

a = 4.438 Å, b = 4.438 Å, c = 4.438 Å
α = 90.00°, β = 90.00°, γ = 90.00°
Space group Pm-3m (No. 221)
One atom of each set of equivalent atoms:
Rb 0.000 0.000 0.000 x1
Ca 0.500 0.500 0.500 x1
F 0.000 0.500 0.500 x3



Below is crystalline CaRu3F at its relaxed geometry, with properties calculated at the GGA-PBEsol level.

Summary:
magnetization = 0.000 μB/atom
energy = -30.25 eV for the cell shown
uncorrected formation energy = 0.8653 eV/atom

a = 4.244 Å, b = 4.244 Å, c = 4.244 Å
α = 90.00°, β = 90.00°, γ = 90.00°
Space group Pm-3m (No. 221)
One atom of each set of equivalent atoms:
Ca 0.000 0.000 0.000 x1
Ru 0.000 0.500 0.500 x3
F 0.500 0.500 0.500 x1



Below is crystalline Ca2YSF at its relaxed geometry, with properties calculated at the GGA-PBEsol level.

Summary:
magnetization = 0.000 μB/atom
energy = -24.56 eV for the cell shown
uncorrected formation energy = -1.4316 eV/atom

a = 4.347 Å, b = 4.347 Å, c = 6.299 Å
α = 90.00°, β = 90.00°, γ = 90.00°
Space group P4/mmm (No. 123)
One atom of each set of equivalent atoms:
Ca 0.000 0.500 0.000 x2
Y 0.000 0.000 0.500 x1
S 0.500 0.500 0.500 x1
F 0.500 0.500 0.000 x1



Below is crystalline CaScSb2F at its relaxed geometry, with properties calculated at the GGA-PBEsol level.

Summary:
magnetization = 0.000 μB/atom
energy = -25.36 eV for the cell shown
uncorrected formation energy = -1.1163 eV/atom

a = 5.455 Å, b = 5.455 Å, c = 3.976 Å
α = 90.00°, β = 90.00°, γ = 90.00°
Space group P4/mmm (No. 123)
One atom of each set of equivalent atoms:
Ca 0.000 0.000 0.000 x1
Sc 0.500 0.500 0.000 x1
Sb 0.000 0.500 0.500 x2
F 0.500 0.500 0.500 x1



Below is crystalline CaSbTe2F at its relaxed geometry, with properties calculated at the GGA-PBEsol level.

Summary:
magnetization = 0.000 μB/atom
energy = -19.47 eV for the cell shown
uncorrected formation energy = -0.7602 eV/atom

a = 5.449 Å, b = 5.449 Å, c = 4.324 Å
α = 90.00°, β = 90.00°, γ = 90.00°
Space group P4/mmm (No. 123)
One atom of each set of equivalent atoms:
Ca 0.000 0.000 0.000 x1
Sb 0.500 0.500 0.000 x1
Te 0.000 0.500 0.500 x2
F 0.500 0.500 0.500 x1



Below is crystalline CaScF6 at its relaxed geometry, with properties calculated at the GGA-PBEsol level.

Summary:
magnetization = 0.133 μB/atom
energy = -188.30 eV for the cell shown
uncorrected formation energy = -3.3466 eV/atom

a = 8.492 Å, b = 8.492 Å, c = 8.492 Å
α = 90.00°, β = 90.00°, γ = 90.00°
Space group Fm-3m (No. 225)
One atom of each set of equivalent atoms:
Ca 0.000 0.000 0.000 x4
Sc 0.000 0.000 0.500 x4
F 0.000 0.000 0.264 x24



Below is crystalline Ca2SeF2 at its relaxed geometry, with properties calculated at the GGA-PBEsol level.

Summary:
magnetization = 0.000 μB/atom
energy = -55.32 eV for the cell shown
uncorrected formation energy = -3.1380 eV/atom

a = 3.761 Å, b = 3.761 Å, c = 12.125 Å
α = 90.00°, β = 90.00°, γ = 90.00°
Space group I4/mmm (No. 139)
One atom of each set of equivalent atoms:
Ca 0.000 0.000 0.141 x4
Se 0.000 0.000 0.500 x2
F 0.000 0.500 0.250 x4



Below is crystalline CaSeF2 at its relaxed geometry, with properties calculated at the GGA-PBEsol level.

Summary:
magnetization = 0.503 μB/atom
energy = -68.84 eV for the cell shown
uncorrected formation energy = -1.8431 eV/atom

a = 6.284 Å, b = 6.284 Å, c = 6.284 Å
α = 90.00°, β = 90.00°, γ = 90.00°
Space group Fm-3m (No. 225)
One atom of each set of equivalent atoms:
Ca 0.000 0.000 0.000 x4
Se 0.000 0.000 0.500 x4
F 0.250 0.250 0.250 x8



Below is crystalline CaSiF3 at its relaxed geometry, with properties calculated at the GGA-PBEsol level.

Summary:
magnetization = 0.150 μB/atom
energy = -24.37 eV for the cell shown
uncorrected formation energy = -2.1420 eV/atom

a = 4.345 Å, b = 4.345 Å, c = 4.345 Å
α = 90.00°, β = 90.00°, γ = 90.00°
Space group Pm-3m (No. 221)
One atom of each set of equivalent atoms:
Ca 0.000 0.000 0.000 x1
Si 0.500 0.500 0.500 x1
F 0.000 0.000 0.500 x3



Below is crystalline Ca10Si6F at its relaxed geometry, with properties calculated at the GGA-PBEsol level.

Summary:
magnetization = 0.000 μB/atom
energy = -143.35 eV for the cell shown
uncorrected formation energy = -0.8197 eV/atom

a = 7.578 Å, b = 7.578 Å, c = 14.451 Å
α = 90.00°, β = 90.00°, γ = 90.00°
Space group I-42m (No. 121)
One atom of each set of equivalent atoms:
Ca 0.000 0.500 0.250 x4
Ca 0.168 0.168 0.398 x8
Ca 0.179 0.179 0.109 x8
Si 0.000 0.500 0.000 x4
Si 0.113 0.113 0.753 x8
F 0.000 0.000 0.500 x2



Below is crystalline CaSnF2 at its relaxed geometry, with properties calculated at the GGA-PBEsol level.

Summary:
magnetization = 0.000 μB/atom
energy = -52.12 eV for the cell shown
energy relative to the lowest polymorph listed for this composition = 3.40 eV per formula unit
uncorrected formation energy = -1.7819 eV/atom

a = 3.4774 Å, b = 3.4774 Å, c = 24.4487 Å
α = 90.00°, β = 90.00°, γ = 120.00°
Space group R-3m (No. 166, hexagonal axes)
One atom of each set of equivalent atoms:
Ca 0.0000 0.0000 0.0000 x3
Sn 0.0000 0.0000 0.5000 x3
F 0.0000 0.0000 0.0860 x6



Below is crystalline CaSnF2 at its relaxed geometry, with properties calculated at the GGA-PBEsol level.

Summary:
magnetization = 0.000 μB/atom
energy = -62.33 eV for the cell shown
energy relative to the lowest polymorph listed for this composition = 0.00 eV per formula unit
uncorrected formation energy = -2.6326 eV/atom

a = 3.4428 Å, b = 3.4428 Å, c = 25.2295 Å
α = 90.00°, β = 90.00°, γ = 120.00°
Space group R-3m (No. 166, hexagonal axes)
One atom of each set of equivalent atoms:
Ca 0.0000 0.0000 0.0000 x3
Sn 0.0000 0.0000 0.5000 x3
F 0.0000 0.0000 0.3732 x6



- Which formula does entry 7 have?
  Ca2SeF2



- Which of these has the lowest energy?
  CaScF6



- Among the records above, which one has the lowest energy?
  CaScF6